[1]
Material: CrCoBP2
Method: DFT, GGA-PBE
State: optimized geometry

Properties
D(E_F)   5.55 states/eV/cell
Formation energy   1.409 eV/atom
E_tot   -5.436 eV per atom

Unit cell a=4.2518 b=4.2518 c=4.5402 alpha=90.00 beta=90.00 gamma=90.00
Closest atoms and distances in Å follow each position.
Atoms (fractional coordinates):
Cr1 0.0000 0.0000 0.0000  4 P 2.13, 2 Co 2.27
B1 0.5000 0.5000 0.5000  4 Co 3.01, 8 P 3.11
Co1 0.0000 0.0000 0.5000  2 Cr 2.27
P1 0.0000 0.5000 0.0000  2 Cr 2.13
P2 0.5000 0.0000 0.0000  2 Cr 2.13

---

[2]
Material: K2HfGeTe
Method: DFT, GGA-PBE
State: optimized geometry

Properties
D(E_F)   7.63 states/eV/cell
E_tot   -3.302 eV per atom
Raw formation energy   679.4 meV/atom

Unit cell a=6.9476 b=4.9893 c=6.9476 alpha=90.00 beta=90.00 gamma=90.00
Closest atoms and distances in Å follow each position.
Atoms (fractional coordinates):
Ge1 0.0000 0.5000 0.0000  2 Hf 2.49
Te1 0.5000 0.5000 0.5000  8 K 4.28
Hf1 0.0000 0.0000 0.0000  2 Ge 2.49
K1 0.0000 0.0000 0.5000  2 Hf 3.47
K2 0.5000 0.0000 0.0000  2 Hf 3.47

---

[3]
Material: Ce2CdN
Method: DFT, GGA-PBE
State: optimized geometry

Properties
D(E_F)   7.08 states/eV/cell
E_tot   -6.039 eV per atom
Raw formation energy   -762.4 meV/atom
Excess energy over the best structure of this formula in the dataset   0.067 eV/atom

Unit cell a=3.4856 b=3.4856 c=8.7151 alpha=78.46 beta=78.46 gamma=60.00
Closest atoms and distances in Å follow each position.
Atoms (fractional coordinates):
Ce1 0.0556 0.0556 0.8333  3 N 2.47
Ce2 0.2777 0.2777 0.1670  3 N 2.45
Cd1 0.5006 0.5006 0.4982  6 Ce 3.45-3.48, 6 Cd 3.49
N1 0.6662 0.6662 0.0015  6 Ce 2.45-2.47

---

[4]
Material: RhPbSe2
Method: DFT, GGA-PBE
State: optimized geometry

Properties
D(E_F)   1.92 states/eV/cell
E_tot   -4.763 eV per atom
Raw formation energy   -255.6 meV/atom

Unit cell a=6.1619 b=6.1619 c=5.0586 alpha=62.32 beta=62.32 gamma=34.48
Closest atoms and distances in Å follow each position.
Atoms (fractional coordinates):
Pb1 0.5649 0.5649 0.5066  1 Rh 2.90, 2 Se 3.01-3.18
Rh1 0.3032 0.3032 0.0149  4 Se 2.46-2.48
Se1 0.8933 0.8933 0.1881  2 Rh 2.48, 1 Se 2.68
Se2 0.7385 0.7385 0.7904  2 Rh 2.46, 1 Se 2.68

---

[5]
Material: AlReRu2
Method: DFT, GGA-PBE
State: optimized geometry

Properties
D(E_F)   3.38 states/eV/cell
Formation energy   -0.111 eV/atom
E_tot   -8.797 eV per atom

Unit cell a=5.0568 b=5.0568 c=5.0568 alpha=146.38 beta=127.74 gamma=63.59
Closest atoms and distances in Å follow each position.
Atoms (fractional coordinates):
Re1 0.2500 0.7500 0.5000  4 Al 2.66, 4 Ru 2.71, 2 Re 2.92
Al1 0.7500 0.2500 0.5000  4 Ru 2.50, 4 Re 2.66
Ru1 0.9852 0.9852 0.0000  2 Al 2.50, 4 Ru 2.68, 2 Re 2.71
Ru2 0.5148 0.5148 0.0000  2 Al 2.50, 4 Ru 2.68, 2 Re 2.71

---

[6]
Material: BC2
Method: DFT, GGA-PBE
State: optimized geometry

Properties
D(E_F)   1.42 states/eV/cell
Formation energy   0.372 eV/atom
E_tot   -8.003 eV per atom
Excess energy over the best structure of this formula in the dataset   0.132 eV/atom

Unit cell a=6.6752 b=7.3107 c=7.3107 alpha=159.91 beta=141.67 gamma=44.13
Closest atoms and distances in Å follow each position.
Atoms (fractional coordinates):
B1 0.5819 0.2750 0.3069  1 C 1.65, 2 B 1.81
B2 0.4659 0.1340 0.3319  2 C 1.58, 1 B 1.64
B3 0.1487 0.1561 0.9926  2 C 1.60, 1 B 1.64
B4 0.4762 0.8432 0.6330  2 C 1.57-1.60
C1 0.9810 0.3320 0.6490  3 C 1.54-1.58, 1 B 1.65
C2 0.0497 0.0002 0.0495  3 C 1.58-1.63
C3 0.6627 0.9658 0.6969  3 C 1.57-1.63, 1 B 1.57
C4 0.0891 0.7961 0.2930  3 C 1.53-1.54, 1 B 1.60
C5 0.9839 0.6791 0.3047  2 C 1.46-1.53, 2 B 1.60
C6 0.6327 0.6140 0.0186  2 C 1.46-1.51, 2 B 1.58
C7 0.5346 0.4989 0.0357  4 C 1.51-1.62
C8 0.1436 0.4555 0.6882  4 C 1.58-1.62

---

[7]
Material: PmZr2Tc
Method: DFT, GGA-PBE
State: optimized geometry

Properties
D(E_F)   5.07 states/eV/cell
Formation energy   0.123 eV/atom
E_tot   -7.931 eV per atom
Excess energy over the best structure of this formula in the dataset   0.230 eV/atom

Unit cell a=4.6537 b=4.6537 c=5.5212 alpha=65.07 beta=65.07 gamma=60.00
Closest atoms and distances in Å follow each position.
Atoms (fractional coordinates):
Tc1 0.5000 0.5000 0.5000  6 Zr 2.84
Zr1 0.7706 0.7706 0.6881  3 Tc 2.84, 3 Pm 3.08
Zr2 0.2294 0.2294 0.3119  3 Tc 2.84, 3 Pm 3.08
Pm1 0.0000 0.0000 0.0000  8 Zr 3.08-3.32

---

[8]
Material: PmTlPb2S4
Method: DFT, GGA-PBE
State: optimized geometry

Properties
E_tot   -4.808 eV per atom
Raw formation energy   -928.0 meV/atom

Unit cell a=4.2208 b=7.2609 c=7.4384 alpha=71.46 beta=90.00 gamma=90.00
Closest atoms and distances in Å follow each position.
Atoms (fractional coordinates):
Pm1 0.0000 0.5000 0.5000  6 S 2.84-2.91
Tl1 0.5000 0.5000 0.0000  6 S 3.05-3.09
Pb1 0.0000 0.0000 0.0000  6 S 3.12-3.13
Pb2 0.5000 0.0000 0.5000  6 S 2.92-2.94
S1 0.0000 0.7505 0.7256  1 Pm 2.84, 3 Pb 2.94-3.13, 2 Tl 3.09
S2 0.0000 0.2495 0.2743  1 Pm 2.84, 3 Pb 2.94-3.13, 2 Tl 3.09
S3 0.5000 0.7378 0.2722  2 Pm 2.91, 3 Pb 2.92-3.12, 1 Tl 3.05
S4 0.5000 0.2622 0.7278  2 Pm 2.91, 3 Pb 2.92-3.12, 1 Tl 3.05

---

[9]
Material: ErGaGe4
Method: DFT, GGA-PBE
State: optimized geometry

Properties
D(E_F)   3.59 states/eV/cell
Formation energy   -0.124 eV/atom
E_tot   -4.467 eV per atom

Unit cell a=5.5470 b=5.5470 c=5.5470 alpha=60.00 beta=60.00 gamma=60.00
Closest atoms and distances in Å follow each position.
Atoms (fractional coordinates):
Ge1 0.6251 0.6251 0.1246  6 Ge 2.77-2.78
Ge2 0.6251 0.1246 0.6251  6 Ge 2.77-2.78
Ge3 0.6251 0.6251 0.6251  6 Ge 2.77-2.78
Ge4 0.1246 0.6251 0.6251  6 Ge 2.77-2.78
Ga1 0.0000 0.0000 0.0000  12 Ge 3.25, 4 Er 3.40
Er1 0.2500 0.2500 0.2500  12 Ge 3.25, 4 Ga 3.40

---

[10]
Material: SrLiSb
Method: DFT, GGA-PBE
State: optimized geometry

Properties
E_tot   -3.532 eV per atom
Raw formation energy   -958.9 meV/atom

Unit cell a=4.8464 b=8.0779 c=8.5114 alpha=90.00 beta=90.00 gamma=90.00
Closest atoms and distances in Å follow each position.
Atoms (fractional coordinates):
Li1 0.7500 0.3414 0.5754  4 Sb 2.87-3.08
Li2 0.2500 0.1586 0.0754  4 Sb 2.87-3.08
Li3 0.2500 0.6586 0.4246  4 Sb 2.87-3.08
Li4 0.7500 0.8414 0.9246  4 Sb 2.87-3.08
Sb1 0.2500 0.2773 0.4060  4 Li 2.87-3.08
Sb2 0.7500 0.2227 0.9060  4 Li 2.87-3.08
Sb3 0.7500 0.7227 0.5940  4 Li 2.87-3.08
Sb4 0.2500 0.7773 0.0940  4 Li 2.87-3.08
Sr1 0.2500 0.0037 0.7068  4 Li 3.32-3.68, 5 Sb 3.38-3.46
Sr2 0.7500 0.4963 0.2068  4 Li 3.32-3.68, 5 Sb 3.38-3.46
Sr3 0.7500 0.9963 0.2932  4 Li 3.32-3.68, 5 Sb 3.38-3.46
Sr4 0.2500 0.5037 0.7932  4 Li 3.32-3.68, 5 Sb 3.38-3.46

---

[11]
Material: Zr2AlSi
Method: DFT, GGA-PBE
State: optimized geometry

Properties
D(E_F)   4.44 states/eV/cell
E_tot   -6.945 eV per atom
Raw formation energy   -379.1 meV/atom
Excess energy over the best structure of this formula in the dataset   0.355 eV/atom

Unit cell a=3.6410 b=3.6410 c=14.7191 alpha=90.00 beta=90.00 gamma=120.00
Closest atoms and distances in Å follow each position.
Atoms (fractional coordinates):
Zr1 0.6667 0.3333 0.6077  3 Si 2.63
Zr2 0.3333 0.6667 0.1077  3 Si 2.63
Zr3 0.3333 0.6667 0.3923  3 Si 2.63
Zr4 0.6667 0.3333 0.8923  3 Si 2.63
Al1 0.6667 0.3333 0.2500  6 Zr 2.97
Al2 0.3333 0.6667 0.7500  6 Zr 2.97
Si1 0.0000 0.0000 0.0000  6 Zr 2.63
Si2 0.0000 0.0000 0.5000  6 Zr 2.63

---

[12]
Material: HgPd9Pt2
Method: DFT, GGA-PBE
State: optimized geometry

Properties
D(E_F)   23.10 states/eV/cell
Formation energy   -0.051 eV/atom
E_tot   -4.978 eV per atom

Unit cell a=3.9755 b=3.9755 c=12.0059 alpha=90.00 beta=90.00 gamma=90.00
Closest atoms and distances in Å follow each position.
Atoms (fractional coordinates):
Hg1 0.0000 0.0000 0.0000  12 Pd 2.81-2.88
Pd1 0.5000 0.5000 0.0000  4 Hg 2.81, 8 Pd 2.88
Pd2 0.5000 0.5000 0.3366  8 Pd 2.79, 4 Pt 2.81
Pd3 0.5000 0.5000 0.6634  8 Pd 2.79, 4 Pt 2.81
Pd4 0.5000 0.0000 0.1738  8 Pd 2.79-2.88, 2 Pt 2.80, 2 Hg 2.88
Pd5 0.5000 0.0000 0.5000  4 Pt 2.78, 8 Pd 2.79-2.81
Pd6 0.5000 0.0000 0.8262  8 Pd 2.79-2.88, 2 Pt 2.80, 2 Hg 2.88
Pd7 0.0000 0.5000 0.1738  8 Pd 2.79-2.88, 2 Pt 2.80, 2 Hg 2.88
Pd8 0.0000 0.5000 0.5000  4 Pt 2.78, 8 Pd 2.79-2.81
Pd9 0.0000 0.5000 0.8262  8 Pd 2.79-2.88, 2 Pt 2.80, 2 Hg 2.88
Pt1 0.0000 0.0000 0.3383  12 Pd 2.78-2.81
Pt2 0.0000 0.0000 0.6617  12 Pd 2.78-2.81